## Ca2MnTlO4 (PBE with a Hubbard U)

Data for a relaxed Ca2MnTlO4 crystal.

Values from the calculation:
- total energy (Ha/atom) = -0.2251
- size of the total moment (Bohr magnetons per cell) = 19.865
- Fermi-level density of states (states/eV/cell) = 12.53

Cell lengths 6.8414, 6.8848, 9.6537 Å; angles 90.00, 90.00, 90.00 degrees
Space group Imma (No. 74)
Inequivalent atoms, fractional coordinates:
Ca (0.0000, 0.0000, 0.0000)
Ca (0.2500, 0.2500, 0.2500)
Mn (0.0000, 0.0000, 0.5000)
Tl (0.2500, 0.2500, 0.7500)
O (0.0000, 0.0158, 0.2574)
O (0.2446, 0.2500, 0.4924)